# HfZr2Pb (PBE, optimized geometry)
data_HfZr2Pb
_chemical_formula_sum 'Hf4 Zr8 Pb4'
_cell_length_a 7.1534
_cell_length_b 7.1534
_cell_length_c 7.1534
_cell_angle_alpha 90.00
_cell_angle_beta 90.00
_cell_angle_gamma 90.00
_space_group_name_H-M_alt 'F m -3 m'
_space_group_IT_number 225
_space_group_name_Hall '-F 4 2 3'
loop_
_atom_site_label
_atom_site_type_symbol
_atom_site_fract_x
_atom_site_fract_y
_atom_site_fract_z
_atom_site_occupancy
Hf1 Hf 0.0000 0.0000 0.0000 1
Zr1 Zr 0.2500 0.2500 0.2500 1
Pb1 Pb 0.0000 0.0000 0.5000 1
# crystal system = cubic
# DFT total energy = -122.11 eV for the cell shown
# ρ = 10.309 g/cm3
# E_form = 0.058 eV/atom
# magnetic moment = 1.571 μB per formula unit

***

# CaCoB2As (PBE, optimized geometry)
data_CaCoB2As
_chemical_formula_sum 'Ca1 Co1 B2 As1'
_cell_length_a 4.2671
_cell_length_b 4.2671
_cell_length_c 4.3562
_cell_angle_alpha 90.00
_cell_angle_beta 90.00
_cell_angle_gamma 90.00
_space_group_name_H-M_alt 'P 4/m m m'
_space_group_IT_number 123
_space_group_name_Hall '-P 4 2'
loop_
_atom_site_label
_atom_site_type_symbol
_atom_site_fract_x
_atom_site_fract_y
_atom_site_fract_z
_atom_site_occupancy
Ca1 Ca 0.0000 0.0000 0.0000 1
Co1 Co 0.5000 0.5000 0.0000 1
B1 B 0.0000 0.5000 0.5000 1
As1 As 0.5000 0.5000 0.5000 1
# crystal system = tetragonal
# DFT total energy = -22.04 eV for the cell shown
# ρ = 4.094 g/cm3
# E_form = 1.015 eV/atom
# magnetic moment = 0.000 μB per formula unit

***

# RbNi3C (PBE, optimized geometry)
data_RbNi3C
_chemical_formula_sum 'Rb1 Ni3 C1'
_cell_length_a 4.0625
_cell_length_b 4.0625
_cell_length_c 4.0625
_cell_angle_alpha 90.00
_cell_angle_beta 90.00
_cell_angle_gamma 90.00
_space_group_name_H-M_alt 'P m -3 m'
_space_group_IT_number 221
_space_group_name_Hall '-P 4 2 3'
loop_
_atom_site_label
_atom_site_type_symbol
_atom_site_fract_x
_atom_site_fract_y
_atom_site_fract_z
_atom_site_occupancy
Rb1 Rb 0.0000 0.0000 0.0000 1
Ni1 Ni 0.0000 0.5000 0.5000 1
C1 C 0.5000 0.5000 0.5000 1
# crystal system = cubic
# DFT total energy = -23.71 eV for the cell shown
# ρ = 6.775 g/cm3
# E_form = 0.766 eV/atom
# magnetic moment = 0.001 μB per formula unit